VASP calculation (GGA+U) on an optimized crystal structure of Ca2FeP2H8O12.

Summary:
Total moment: 4.0 μB per formula unit
VASP energy: -6.13 eV/atom
Volume: 241.5 Å³/f.u.
DOS(E_F): 0.00 states/eV per cell

a b c (Å): 5.9801 6.4774 6.9063
angles (deg): 70.24 78.32 75.23
Fractional positions:
Ca 0.2046 0.1628 0.2893
Ca 0.7954 0.8372 0.7107
Fe 0.5000 0.5000 0.5000
P 0.2750 0.0636 0.7826
P 0.7250 0.9364 0.2174
H 0.1251 0.6695 0.3061
H 0.1815 0.4408 0.8239
H 0.2683 0.6732 0.7909
H 0.3195 0.6464 0.1231
H 0.6805 0.3536 0.8769
H 0.7317 0.3268 0.2091
H 0.8185 0.5592 0.1761
H 0.8749 0.3305 0.6939
O 0.0757 0.0952 0.6528
O 0.1844 0.1843 0.9493
O 0.1922 0.5955 0.7232
O 0.2606 0.5567 0.2666
O 0.3837 0.8110 0.8757
O 0.4793 0.1661 0.6280
O 0.5207 0.8339 0.3720
O 0.6163 0.1890 0.1243
O 0.7394 0.4433 0.7334
O 0.8078 0.4045 0.2768
O 0.8156 0.8157 0.0507
O 0.9243 0.9048 0.3472